CsYC2O6 | PBE | optimized geometry

Results
Fermi-level density of states in states/eV per cell: 0.0
Formation energy without anion corrections in eV/atom: -2.124
DFT total energy in eV per atom: -7.6751

```
CsYC2O6
1.0
4.555 -4.682 0.000
4.555 4.682 0.000
-2.781 0.000 6.956
Cs Y C O
2 2 4 12
Direct
0.098 0.902 0.750
0.902 0.098 0.250
0.406 0.594 0.250
0.594 0.406 0.750
0.152 0.409 0.767
0.409 0.152 0.267
0.591 0.848 0.733
0.848 0.591 0.233
0.047 0.601 0.243
0.225 0.294 0.633
0.294 0.225 0.133
0.296 0.539 0.913
0.399 0.953 0.257
0.461 0.704 0.587
0.539 0.296 0.413
0.601 0.047 0.743
0.704 0.461 0.087
0.706 0.775 0.867
0.775 0.706 0.367
0.953 0.399 0.757
```



CsZnC2O6 | PBE | optimized geometry

Results
Fermi-level density of states in states/eV per cell: 2.1
Formation energy without anion corrections in eV/atom: -1.388
DFT total energy in eV per atom: -6.4207

```
CsZnC2O6
1.0
4.493 -6.033 0.000
4.493 6.033 0.000
-2.010 0.000 6.280
Cs Zn C O
2 2 4 12
Direct
0.137 0.863 0.750
0.863 0.137 0.250
0.423 0.577 0.250
0.577 0.423 0.750
0.202 0.419 0.814
0.419 0.202 0.314
0.581 0.798 0.686
0.798 0.581 0.186
0.028 0.373 0.720
0.281 0.574 0.970
0.303 0.314 0.753
0.314 0.303 0.253
0.373 0.028 0.220
0.426 0.719 0.530
0.574 0.281 0.470
0.627 0.972 0.780
0.686 0.697 0.747
0.697 0.686 0.247
0.719 0.426 0.030
0.972 0.627 0.280
```



How do the records compare in mass density? In the order shown, they have 3.83, 3.11 Mg/m³.